Compound: Li2Ga5Pd3
Source: the Alexandria database
Functional: PBE-GGA
Structure: optimized geometry

Cell lengths 11.0856, 11.5617, 5.6446 Å; angles 90.00, 90.00, 90.00 degrees
With the nearest neighbours (Å) after each atom.
Space group Ibam (No. 72)
Unique sites:
Li (0.1353, 0.2355, 0.0000) x8  4 Ga 2.97-3.12, 4 Pd 3.05-3.09
Ga (0.0000, 0.0000, 0.2500) x4  4 Pd 2.53, 2 Ga 2.82
Ga (0.1057, 0.3472, 0.5000) x8  3 Pd 2.44-2.55, 2 Ga 2.72
Ga (0.2419, 0.5000, 0.2500) x8  3 Pd 2.59-2.68, 5 Ga 2.72-2.86
Pd (0.0000, 0.5000, 0.2500) x4  6 Ga 2.55-2.68, 2 Pd 2.82
Pd (0.1242, 0.1368, 0.5000) x8  5 Ga 2.44-2.59

Results
DFT total energy = -154.00 eV per cell
Energy above the lowest structure with this stoichiometry = 0.0922 eV per atom
Calculated formation energy = -0.396 eV per atom